A plane-wave DFT calculation with GGA-PBE was carried out for an optimized crystal structure of NaCa7Pb4.

Structure (POSCAR):
```
NaCa7Pb4
1.0
7.6515 -2.8825 0.0000
7.6515 2.8825 0.0000
-7.0294 0.0000 9.3284
Na Ca Pb
1 7 4
Cartesian
0.0000 0.0000 0.0000
-1.1925 0.0000 3.2157
-2.8405 0.0000 8.1280
2.3772 0.0000 3.8188
7.6515 0.0000 0.0000
5.8964 0.0000 5.5096
11.1141 0.0000 1.2004
9.4661 0.0000 6.1127
-0.1780 0.0000 6.2828
5.0769 0.0000 2.0299
3.1966 0.0000 7.2985
8.4516 0.0000 3.0456
```

=====

A plane-wave DFT calculation with GGA-PBE was carried out for an optimized crystal structure of NaCa2Pb.

Structure (POSCAR):
```
NaCa2Pb
1.0
1.8580 1.0727 12.8214
-1.8580 1.0727 12.8214
0.0000 -2.1454 12.8214
Na Ca Pb
1 2 1
Cartesian
0.0000 0.0000 0.0000
0.0000 0.0000 16.0213
0.0000 0.0000 22.4428
0.0000 0.0000 19.2321
```

=====

NaCaPb3 GGA-PBE optimized geometry; ΔE to the lowest computed polymorph = 49 meV per atom
1.0
5.5948 0.0000 0.0000
0.0000 6.3207 0.0000
-2.7844 0.0000 9.0827
Na Ca Pb
2 2 6
Cartesian
0.0144 1.5802 2.3805
2.7960 4.7405 6.7021
0.0111 1.5802 6.0588
2.7993 4.7405 3.0239
0.0010 4.7405 1.1784
0.0037 4.7405 4.6013
2.7974 0.0000 0.0000
2.7974 3.1603 0.0000
2.8067 1.5802 4.4814
2.8094 1.5802 7.9043

=====

A plane-wave DFT calculation with GGA-PBE was carried out for an optimized crystal structure of NaCa2Pb.

Structure (POSCAR):
```
NaCa2Pb
1.0
4.0148 0.0000 0.0000
0.0000 4.0148 0.0000
0.0000 0.0000 8.3646
Na Ca Pb
1 2 1
Cartesian
0.0000 0.0000 0.0000
2.0074 2.0074 2.3370
2.0074 2.0074 6.0276
0.0000 0.0000 4.1823
```

=====

A plane-wave DFT calculation with GGA-PBE was carried out for an optimized crystal structure of Na3CaPb6.

Structure (POSCAR):
```
Na3CaPb6
1.0
10.9792 0.0000 0.0000
0.0000 4.8718 0.0000
-0.0326 0.0000 11.0493
Na Ca Pb
6 2 12
Cartesian
0.0103 1.2179 2.7697
2.2021 3.6538 3.8264
4.3958 1.2179 4.9467
6.5508 3.6538 6.1025
8.7446 1.2179 7.2229
10.9363 3.6538 8.2795
4.2321 3.6538 10.4042
6.7146 1.2179 0.6451
1.0822 3.6538 0.5311
1.0834 1.2179 6.0068
2.0823 1.2179 9.2564
3.2320 3.6538 7.1076
3.3463 1.2179 1.6545
5.4348 3.6538 2.7487
5.5118 1.2179 8.3006
7.6004 3.6538 9.3948
7.7147 1.2179 3.9417
8.8643 3.6538 1.7929
9.8632 3.6538 5.0424
9.8644 1.2179 10.5182
```

=====

A plane-wave DFT calculation with GGA-PBE was carried out for an optimized crystal structure of Na4CaPb5.

Structure (POSCAR):
```
Na4CaPb5
1.0
3.8998 0.0000 0.0000
0.0000 3.8998 0.0000
0.0000 0.0000 18.8861
Na Ca Pb
4 1 5
Cartesian
0.0000 0.0000 1.8551
0.0000 0.0000 5.5749
0.0000 0.0000 13.3112
0.0000 0.0000 17.0310
0.0000 0.0000 9.4430
1.9499 1.9499 0.0000
1.9499 1.9499 3.7132
1.9499 1.9499 7.4340
1.9499 1.9499 11.4521
1.9499 1.9499 15.1729
```

=====

A plane-wave DFT calculation with GGA-PBE was carried out for an optimized crystal structure of Na4CaPb4.

Structure (POSCAR):
```
Na4CaPb4
1.0
7.1092 0.0000 0.0000
0.0000 7.1092 0.0000
0.0000 0.0000 10.9792
Na Ca Pb
8 2 8
Cartesian
0.2290 1.7773 2.0454
1.7773 0.2290 7.5350
1.7773 3.3256 7.5350
3.3256 1.7773 2.0454
3.7836 5.3319 8.9338
5.3319 3.7836 3.4442
5.3319 6.8802 3.4442
6.8802 5.3319 8.9338
1.7773 5.3319 2.7448
5.3319 1.7773 8.2344
0.0703 1.7773 5.2726
1.7773 0.0703 10.7622
1.7773 3.4844 10.7622
3.4844 1.7773 5.2726
3.6249 5.3319 5.7066
5.3319 3.6249 0.2170
5.3319 7.0390 0.2170
7.0390 5.3319 5.7066
```

=====

NaCaPb3 GGA-PBE optimized geometry; ΔE to the lowest computed polymorph = 409 meV per atom
1.0
5.5422 0.0000 0.0000
0.0000 5.5422 0.0000
0.0000 0.0000 5.5422
Na Ca Pb
1 1 3
Cartesian
0.0000 0.0000 0.0000
2.7711 2.7711 2.7711
0.0000 0.0000 2.7711
0.0000 2.7711 0.0000
2.7711 0.0000 0.0000

=====

NaCaPb4 GGA-PBE optimized geometry; ΔE to the lowest computed polymorph = 34 meV per atom
1.0
0.0000 4.6466 4.6466
4.6466 0.0000 4.6466
4.6466 4.6466 0.0000
Na Ca Pb
1 1 4
Cartesian
0.0000 0.0000 0.0000
2.3233 2.3233 2.3233
5.8038 3.4895 3.4895
3.4895 5.8038 3.4895
3.4895 3.4895 5.8038
5.8038 5.8038 5.8038

=====

NaCaPb3 GGA-PBE optimized geometry; ΔE to the lowest computed polymorph = 0 meV per atom
1.0
3.6967 0.0000 0.0000
0.0000 9.4843 0.0000
-0.0034 0.0000 9.4665
Na Ca Pb
2 2 6
Cartesian
3.6954 2.3711 1.2058
-0.0021 7.1132 8.2606
3.6944 2.3711 5.0755
-0.0011 7.1132 4.3909
1.8406 2.3711 7.9696
1.8457 0.3125 3.1467
1.8457 4.4296 3.1467
1.8476 5.0547 6.3198
1.8476 9.1718 6.3198
1.8527 7.1132 1.4969

=====

NaCaPb4 GGA-PBE optimized geometry; ΔE to the lowest computed polymorph = 181 meV per atom
1.0
5.0818 0.0000 0.0000
0.0000 5.0818 0.0000
0.0000 0.0000 7.6746
Na Ca Pb
1 1 4
Cartesian
0.0000 0.0000 0.0000
2.5409 2.5409 3.8373
0.0000 2.5409 1.6988
0.0000 2.5409 5.9758
2.5409 0.0000 1.6988
2.5409 0.0000 5.9758

=====

A plane-wave DFT calculation with GGA-PBE was carried out for an optimized crystal structure of NaCa2Pb.

Structure (POSCAR):
```
NaCa2Pb
1.0
5.6461 0.0000 0.0000
0.0000 5.6461 0.0000
0.0000 0.0000 3.9877
Na Ca Pb
1 2 1
Cartesian
0.0000 0.0000 0.0000
0.0000 2.8231 1.9939
2.8231 0.0000 1.9939
2.8231 2.8231 0.0000
```

=====

A plane-wave DFT calculation with GGA-PBE was carried out for an optimized crystal structure of NaCa4Pb3.

Structure (POSCAR):
```
NaCa4Pb3
1.0
2.7816 1.6059 9.2340
-2.7816 1.6059 9.2340
0.0000 -3.2119 9.2340
Na Ca Pb
1 4 3
Cartesian
0.0000 0.0000 0.0000
0.0000 0.0000 3.6041
0.0000 0.0000 10.5834
0.0000 0.0000 17.1185
0.0000 0.0000 24.0978
0.0000 0.0000 7.2050
0.0000 0.0000 13.8509
0.0000 0.0000 20.4968
```

=====

NaCa2Pb4 GGA-PBE optimized geometry; ΔE to the lowest computed polymorph = 214 meV per atom
1.0
-2.7435 2.7435 8.1198
2.7435 -2.7435 8.1198
2.7435 2.7435 -8.1198
Na Ca Pb
1 2 4
Cartesian
0.0000 0.0000 0.0000
0.0000 0.0000 6.1219
0.0000 0.0000 10.1178
2.7435 0.0000 0.0000
0.0000 0.0000 2.9250
0.0000 2.7435 0.0000
0.0000 0.0000 13.3147

=====

A plane-wave DFT calculation with GGA-PBE was carried out for an optimized crystal structure of Na5CaPb6.

Structure (POSCAR):
```
Na5CaPb6
1.0
2.4546 -7.1694 0.0000
2.4546 7.1694 0.0000
0.0000 0.0000 9.8184
Na Ca Pb
5 1 6
Cartesian
0.0000 0.0000 0.0000
2.4546 2.4929 4.9092
2.4546 2.3876 0.0000
2.4546 -2.3876 0.0000
2.4546 -2.4929 4.9092
0.0000 0.0000 4.9092
2.4546 4.7788 2.4375
2.4546 4.7788 7.3809
2.4546 0.0000 2.4950
2.4546 0.0000 7.3234
2.4546 -4.7788 2.4375
2.4546 -4.7788 7.3809
```

=====

A plane-wave DFT calculation with GGA-PBE was carried out for an optimized crystal structure of NaCa3Pb4.

Structure (POSCAR):
```
NaCa3Pb4
1.0
4.6509 0.0000 0.0000
0.0000 5.0194 0.0000
0.0000 0.0000 10.1239
Na Ca Pb
1 3 4
Cartesian
0.0000 0.0000 0.0000
0.0000 0.0000 5.0620
0.0000 2.5097 2.4550
0.0000 2.5097 7.6689
2.3254 0.0000 2.5223
2.3254 0.0000 7.6016
2.3254 2.5097 0.0000
2.3254 2.5097 5.0620
```

=====

A plane-wave DFT calculation with GGA-PBE was carried out for an optimized crystal structure of Na3Ca3Pb2.

Structure (POSCAR):
```
Na3Ca3Pb2
1.0
2.7763 1.6029 9.0928
-2.7763 1.6029 9.0928
0.0000 -3.2058 9.0928
Na Ca Pb
3 3 2
Cartesian
0.0000 0.0000 0.0000
0.0000 0.0000 3.2627
0.0000 0.0000 17.2077
0.0000 0.0000 6.8606
0.0000 0.0000 13.6930
0.0000 0.0000 20.4927
0.0000 0.0000 10.2978
0.0000 0.0000 23.8917
```

=====

A plane-wave DFT calculation with GGA-PBE was carried out for an optimized crystal structure of Na3CaPb12.

Structure (POSCAR):
```
Na3CaPb12
1.0
4.8887 0.0000 0.0000
0.0000 4.8887 0.0000
0.0000 0.0000 20.0810
Na Ca Pb
3 1 12
Cartesian
0.0000 0.0000 0.0000
0.0000 0.0000 5.0221
0.0000 0.0000 15.0589
0.0000 0.0000 10.0405
0.0000 2.4443 2.5080
0.0000 2.4443 7.4928
0.0000 2.4443 12.5882
0.0000 2.4443 17.5730
2.4443 0.0000 2.5080
2.4443 0.0000 7.4928
2.4443 0.0000 12.5882
2.4443 0.0000 17.5730
2.4443 2.4443 0.0000
2.4443 2.4443 4.9848
2.4443 2.4443 10.0405
2.4443 2.4443 15.0962
```

=====

A plane-wave DFT calculation with GGA-PBE was carried out for an optimized crystal structure of NaCa3Pb12.

Structure (POSCAR):
```
NaCa3Pb12
1.0
4.9353 0.0000 0.0000
0.0000 4.9353 0.0000
0.0000 0.0000 19.8256
Na Ca Pb
1 3 12
Cartesian
0.0000 0.0000 0.0000
0.0000 0.0000 5.0086
0.0000 0.0000 9.9128
0.0000 0.0000 14.8170
0.0000 2.4677 2.4516
0.0000 2.4677 7.4376
0.0000 2.4677 12.3879
0.0000 2.4677 17.3740
2.4677 0.0000 2.4516
2.4677 0.0000 7.4376
2.4677 0.0000 12.3879
2.4677 0.0000 17.3740
2.4677 2.4677 0.0000
2.4677 2.4677 4.9303
2.4677 2.4677 9.9128
2.4677 2.4677 14.8953
```

=====

NaCa2Pb4 GGA-PBE optimized geometry; ΔE to the lowest computed polymorph = 0 meV per atom
1.0
-2.9521 2.9521 6.6397
2.9521 -2.9521 6.6397
2.9521 2.9521 -6.6397
Na Ca Pb
1 2 4
Cartesian
0.0000 0.0000 0.0000
0.0000 0.0000 4.8230
0.0000 0.0000 8.4565
2.9521 0.0000 0.0000
2.9521 0.0000 3.3199
0.0000 2.9521 0.0000
0.0000 2.9521 3.3199

=====

| no. | energy relative to the elements (meV/atom) | size of the total moment (μB/cell) |
| --- | --- | --- |
| 1 | -312 | 0.0 |
| 2 | 73 | 0.0 |
| 3 | -178 | 0.0 |
| 4 | -264 | 0.0 |
| 5 | -198 | 0.0 |
| 6 | -204 | 0.0 |
| 7 | -72 | 0.0 |
| 8 | 183 | 0.0 |
| 9 | -159 | 0.0 |
| 10 | -227 | 0.0 |
| 11 | -12 | 0.0 |
| 12 | -294 | 0.0 |
| 13 | -435 | 0.0 |
| 14 | 68 | 0.0 |
| 15 | -200 | 0.0 |
| 16 | -433 | 0.0 |
| 17 | -320 | 0.0 |
| 18 | -164 | 0.0 |
| 19 | -263 | 0.0 |
| 20 | -145 | 0.0 |